[1]
Computed, not measured: a relaxed structure of DyEr2Ru3 at the PBE level of DFT.

The calculation puts the final energy at -43.7 eV/cell. Its volume is 116 Å³/cell. The calculation puts the formation energy at -0.36 eV per atom. The value obtained for the energy above the lowest structure with this stoichiometry is 6 meV per atom. The total magnetic moment comes out at 0.00 μB/cell.

The structure belongs to space group P-3m1 (No. 164); the cell edges are 4.7763, 4.7763 and 5.8584 Å and the angles 90.00°, 90.00° and 120.00°. The distinct sites, in fractional coordinates, are Dy at (0.0000, 0.0000, 0.0000), Er at (0.3333, 0.6667, 0.6656), Ru at (0.0000, 0.0000, 0.5000) and Ru at (0.3333, 0.6667, 0.1676).



[2]
Computed, not measured: a relaxed structure of YTeAu4 at the PBE level of DFT.

The calculation puts the final energy at -100.5 eV/cell. Its volume is 516 Å³/cell. Its uncorrected formation energy is -234 kJ/mol of formula units. The total magnetic moment comes out at 0.00 μB/cell.

The structure belongs to space group F-43m (No. 216); the cell edges are 8.019, 8.019 and 8.019 Å and the angles 90.00°, 90.00° and 90.00°. The distinct sites, in fractional coordinates, are Y at (0.000, 0.000, 0.000), Te at (0.250, 0.250, 0.250) and Au at (0.125, 0.125, 0.625).



[3]
Computed, not measured: a relaxed structure of NpSnBiAu at the PBE level of DFT.

The calculation puts the final energy at -95.3 eV/cell. Its volume is 416 Å³/cell. The calculation puts the formation energy at 0.07 eV per atom. The value obtained for the energy above the lowest structure with this stoichiometry is 176 meV per atom. The total magnetic moment comes out at 17.37 μB/cell.

The structure belongs to space group F-43m (No. 216); the cell edges are 7.467, 7.467 and 7.467 Å and the angles 90.00°, 90.00° and 90.00°. The distinct sites, in fractional coordinates, are Np at (0.000, 0.000, 0.000), Sn at (0.000, 0.000, 0.500), Bi at (0.250, 0.250, 0.250) and Au at (0.250, 0.250, 0.750).



[4]
Computed, not measured: a relaxed structure of NdThRu2 at the PBE level of DFT.

The calculation puts the final energy at -127.2 eV/cell. Its volume is 371 Å³/cell. The calculation puts the formation energy at -0.27 eV per atom. The total magnetic moment comes out at 0.00 μB/cell.

The structure belongs to space group P2/c (No. 13); the cell edges are 5.931, 6.012 and 11.021 Å and the angles 90.00°, 109.12° and 90.00°. The distinct sites, in fractional coordinates, are Nd at (0.192, 0.132, 0.147), Th at (0.313, 0.366, 0.853), Ru at (0.148, 0.379, 0.602) and Ru at (0.362, 0.163, 0.447).



[5]
Computed, not measured: a relaxed structure of Li2Ce3DySe6 at the PBE level of DFT.

The calculation puts the final energy at -134.5 eV/cell. Its volume is 596 Å³/cell. Its uncorrected formation energy is -1942 kJ/mol of formula units. The total magnetic moment comes out at 7.31 μB/cell.

The structure belongs to space group C2/m (No. 12); the cell edges are 7.154, 12.395 and 7.134 Å and the angles 90.00°, 109.52° and 90.00°. The distinct sites, in fractional coordinates, are Li at (0.000, 0.167, 0.000), Ce at (0.000, 0.000, 0.500), Ce at (0.000, 0.332, 0.500), Dy at (0.000, 0.500, 0.000), Se at (0.243, 0.000, 0.235) and Se at (0.246, 0.332, 0.234).



[6]
Computed, not measured: a relaxed structure of Nd12Tm7Zr at the PBE level of DFT.

The calculation puts the final energy at -278.4 eV/cell. Its volume is 2045 Å³/cell. The calculation puts the formation energy at 0.21 eV per atom. The total magnetic moment comes out at 0.01 μB/cell.

The structure belongs to space group R-3m (No. 166, hexagonal axes); the cell edges are 19.5640, 19.5640 and 6.1696 Å and the angles 90.00°, 90.00° and 120.00°. The distinct sites, in fractional coordinates, are Nd at (0.0000, 0.4127, 0.0000), Nd at (0.0986, 0.5493, 0.4756), Tm at (0.0000, 0.0000, 0.0000), Tm at (0.0798, 0.1597, 0.3045) and Zr at (0.0000, 0.0000, 0.5000).



- final energy of number 6 (Nd12Tm7Zr)?
  -278.4 eV/cell